Entry 1:
## Al3Fe2Si3 (GGA-PBE)

Data for Al3Fe2Si3 after structural relaxation.

abc: 4.893 6.236 7.972
angles: 69.56 85.95 75.74
Sites, in units of the cell vectors:
Al 0.079 0.405 0.258
Al 0.176 0.145 0.867
Al 0.237 0.924 0.601
Al 0.763 0.076 0.399
Al 0.824 0.855 0.133
Al 0.921 0.595 0.742
Fe 0.101 0.702 0.428
Fe 0.443 0.477 0.761
Fe 0.557 0.523 0.239
Fe 0.899 0.298 0.572
Si 0.285 0.939 0.195
Si 0.383 0.325 0.535
Si 0.497 0.284 0.073
Si 0.503 0.716 0.927
Si 0.617 0.675 0.465
Si 0.715 0.061 0.805

Offset from the most stable computed form: 1.32 eV/f.u.
Uncorrected formation energy: -0.190 eV/atom
DOS(E_F): 0.321 states/eV per atom
SG: P-1

Entry 2:
## NaNbZn (GGA-PBE)

Data for NaNbZn after structural relaxation.

abc: 2.727 5.493 8.358
angles: 88.00 80.92 76.76
Sites, in units of the cell vectors:
Na 0.000 0.000 0.000
Na 0.109 0.500 0.747
Nb 0.057 0.251 0.373
Nb 0.557 0.750 0.374
Zn 0.439 0.499 0.107
Zn 0.680 0.001 0.639

Offset from the most stable computed form: 0.53 eV/f.u.
DOS(E_F): 0.765 states/eV per atom
SG: P1

Q: Which value of DOS(E_F) does entry 2 give?
A: 0.765 states/eV per atom

Repeat the second record exactly.
## NaNbZn (GGA-PBE)

Data for NaNbZn after structural relaxation.

abc: 2.727 5.493 8.358
angles: 88.00 80.92 76.76
Sites, in units of the cell vectors:
Na 0.000 0.000 0.000
Na 0.109 0.500 0.747
Nb 0.057 0.251 0.373
Nb 0.557 0.750 0.374
Zn 0.439 0.499 0.107
Zn 0.680 0.001 0.639

Offset from the most stable computed form: 0.53 eV/f.u.
DOS(E_F): 0.765 states/eV per atom
SG: P1